(1)
This record from the Alexandria database describes a geometry-optimized AlZnAg2 structure. The functional is PBE.

Summary:
space-group type = No. 65
total DFT energy (no corrections) = -0.0996 Ha/atom
energy of formation from the pure elements = -12 kJ/mol of formula units

Unit cell a=4.780 b=4.780 c=2.970 alpha=90.00 beta=90.00 gamma=104.46
Positions (direct):
Zn 0.000 0.500 0.500
Ag 0.500 0.500 0.000
Al 0.500 0.000 0.500
Ag 0.000 0.000 0.000

---

(2)
This record from the Alexandria database describes a geometry-optimized AlZnAg6 structure. The functional is PBE.

Summary:
space-group type = No. 2
total DFT energy (no corrections) = -0.1001 Ha/atom
energy of formation from the pure elements = 31 kJ/mol of formula units

Unit cell a=7.520 b=7.102 c=4.916 alpha=49.38 beta=46.17 gamma=61.79
Positions (direct):
Ag 0.454 0.250 0.274
Al 0.500 0.500 0.500
Ag 0.251 0.047 0.181
Ag 0.546 0.750 0.726
Zn 0.000 0.000 0.000
Ag 0.924 0.425 0.400
Ag 0.749 0.953 0.819
Ag 0.076 0.575 0.600

---

(3)
This record from the Alexandria database describes a geometry-optimized AlZn8Ag5 structure. The functional is PBE.

Summary:
space-group type = No. 82
total DFT energy (no corrections) = -0.0715 Ha/atom
energy of formation from the pure elements = 91 kJ/mol of formula units

Unit cell a=6.854 b=6.854 c=6.854 alpha=115.69 beta=97.63 gamma=115.69
Positions (direct):
Zn 0.560 0.597 0.305
Zn 0.602 0.932 0.849
Ag 0.500 0.000 0.500
Zn 0.695 0.255 0.292
Ag 0.277 0.067 0.909
Ag 0.842 0.933 0.209
Ag 0.791 0.632 0.723
Zn 0.917 0.068 0.670
Al 0.250 0.500 0.750
Zn 0.151 0.753 0.083
Zn 0.330 0.247 0.398
Zn 0.708 0.403 0.963
Ag 0.091 0.368 0.158
Zn 0.037 0.745 0.440

---

(4)
This record from the Alexandria database describes a geometry-optimized Al2ZnAg structure. The functional is PBE.

Summary:
space-group type = No. 119
total DFT energy (no corrections) = -0.1055 Ha/atom
energy of formation from the pure elements = 12 kJ/mol of formula units

Unit cell a=4.041 b=4.041 c=4.971 alpha=113.98 beta=113.98 gamma=90.00
Positions (direct):
Ag 0.250 0.750 0.500
Zn 0.500 0.500 0.000
Al 0.000 0.000 0.000
Al 0.750 0.250 0.500

---

(5)
This record from the Alexandria database describes a geometry-optimized AlZn4Ag3 structure. The functional is PBE.

Summary:
space-group type = No. 71
total DFT energy (no corrections) = -0.0776 Ha/atom
energy of formation from the pure elements = 49 kJ/mol of formula units

Unit cell a=2.879 b=7.320 c=7.679 alpha=118.47 beta=100.81 gamma=90.00
Positions (direct):
Zn 0.652 0.470 0.304
Zn 0.348 0.530 0.696
Zn 0.348 0.166 0.696
Zn 0.652 0.834 0.304
Al 0.500 0.000 0.000
Ag 0.000 0.500 0.000
Ag 0.167 0.167 0.334
Ag 0.833 0.833 0.666

---

(6)
This record from the Alexandria database describes a geometry-optimized AlZn2Ag5 structure. The functional is PBE.

Summary:
space-group type = No. 55
total DFT energy (no corrections) = -0.0957 Ha/atom
energy of formation from the pure elements = -28 kJ/mol of formula units

Unit cell a=4.304 b=5.617 c=11.042 alpha=90.00 beta=90.00 gamma=90.00
Positions (direct):
Ag 0.000 0.000 0.000
Al 0.000 0.000 0.500
Ag 0.000 0.579 0.241
Ag 0.500 0.810 0.387
Ag 0.000 0.921 0.741
Zn 0.500 0.685 0.634
Zn 0.500 0.185 0.866
Ag 0.500 0.190 0.613
Zn 0.500 0.815 0.134
Ag 0.000 0.079 0.259
Ag 0.500 0.690 0.887
Ag 0.500 0.310 0.113
Al 0.000 0.500 0.000
Ag 0.000 0.500 0.500
Ag 0.000 0.421 0.759
Zn 0.500 0.315 0.366

---

(7)
This record from the Alexandria database describes a geometry-optimized Al6ZnAg5 structure. The functional is PBE.

Summary:
space-group type = No. 12
total DFT energy (no corrections) = -0.1170 Ha/atom
energy of formation from the pure elements = -22 kJ/mol of formula units

Unit cell a=9.032 b=5.318 c=5.078 alpha=58.43 beta=83.46 gamma=77.44
Positions (direct):
Ag 0.000 0.331 0.337
Al 0.751 0.746 0.000
Ag 0.000 0.669 0.663
Ag 0.500 0.500 0.000
Al 0.751 0.082 0.329
Al 0.249 0.918 0.671
Ag 0.500 0.833 0.335
Zn 0.000 0.000 0.000
Al 0.249 0.254 0.000
Al 0.751 0.411 0.671
Ag 0.500 0.167 0.665
Al 0.249 0.589 0.329

---

(8)
This record from the Alexandria database describes a geometry-optimized AlZn2Ag structure. The functional is PBE.

Summary:
space-group type = No. 139
total DFT energy (no corrections) = -0.0832 Ha/atom
energy of formation from the pure elements = 8 kJ/mol of formula units

Unit cell a=4.925 b=4.925 c=4.925 alpha=132.20 beta=132.20 gamma=69.91
Positions (direct):
Zn 0.500 0.500 0.000
Ag 0.250 0.750 0.500
Zn 0.000 0.000 0.000
Al 0.750 0.250 0.500

---

Number 1: M_tot 0.00 μB/f.u.. Number 2: M_tot 0.00 μB/f.u.. Number 3: M_tot 0.00 μB/f.u.. Number 4: M_tot 0.00 μB/f.u.. Number 5: M_tot 0.00 μB/f.u.. Number 6: M_tot 0.00 μB/f.u.. Number 7: M_tot 0.00 μB/f.u.. Number 8: M_tot 0.00 μB/f.u..